Record 1
Density functional theory data (PBE) for crystalline NdHoSnHg at its relaxed geometry.

```
data_NdHoSnHg
_space_group_name_H-M_alt 'P 4 m m'
_space_group_IT_number 99
_cell_length_a 3.826
_cell_length_b 3.826
_cell_length_c 7.456
_cell_angle_alpha 90.00
_cell_angle_beta 90.00
_cell_angle_gamma 90.00
loop_
_space_group_symop_operation_xyz
'x,y,z'
'-y,x,z'
'-x,-y,z'
'y,-x,z'
'-x,y,z'
'y,x,z'
'x,-y,z'
'-y,-x,z'
loop_
_atom_site_label
_atom_site_fract_x
_atom_site_fract_y
_atom_site_fract_z
Nd1 0.000 0.000 0.000
Ho1 0.000 0.000 0.508
Sn1 0.500 0.500 0.265
Hg1 0.500 0.500 0.734
```

Computed properties:
Crystal system: tetragonal
E_form: -218.6 kJ/mol of formula units
N(E_F): 3.0 states/eV/cell



Record 2
Density functional theory data (PBE) for crystalline Rb2GeO3 at its relaxed geometry.

```
data_Rb2GeO3
_space_group_name_H-M_alt 'C m c e'
_space_group_IT_number 64
_space_group_name_Hall '-C 2ac 2'
_cell_length_a 5.764
_cell_length_b 12.313
_cell_length_c 13.433
_cell_angle_alpha 90.00
_cell_angle_beta 90.00
_cell_angle_gamma 90.00
loop_
_atom_site_label
_atom_site_fract_x
_atom_site_fract_y
_atom_site_fract_z
Rb1 0.000 0.051 0.140
Rb2 0.000 0.134 0.569
Ge1 0.000 0.243 0.328
O1 0.000 0.103 0.351
O2 0.000 0.169 0.930
O3 0.250 0.216 0.750
```

Computed properties:
E_form (uncorrected): -1722 meV per atom
Crystal system: orthorhombic
N(E_F): 0.0 states/eV/cell



Record 3
Density functional theory data (PBE) for crystalline Sr4Ca10Mg at its relaxed geometry.

```
data_Sr4Ca10Mg
_space_group_name_H-M_alt 'I 4/m'
_space_group_IT_number 87
_space_group_name_Hall '-I 4'
_cell_length_a 10.966
_cell_length_b 10.966
_cell_length_c 11.918
_cell_angle_alpha 90.00
_cell_angle_beta 90.00
_cell_angle_gamma 90.00
loop_
_atom_site_label
_atom_site_fract_x
_atom_site_fract_y
_atom_site_fract_z
Sr1 0.040 0.276 0.000
Ca1 0.000 0.500 0.250
Ca2 0.124 0.205 0.337
Mg1 0.000 0.000 0.500
```

Computed properties:
Crystal system: tetragonal
E_form: 257.5 kJ/mol of formula units
N(E_F): 39.6 states/eV/cell



Record 4
Density functional theory data (PBE) for crystalline NiRh2 at its relaxed geometry.

```
data_NiRh2
_space_group_name_H-M_alt 'P 1 21/m 1'
_space_group_IT_number 11
_cell_length_a 4.568
_cell_length_b 2.691
_cell_length_c 6.497
_cell_angle_alpha 90.00
_cell_angle_beta 90.34
_cell_angle_gamma 90.00
loop_
_space_group_symop_operation_xyz
'x,y,z'
'-x,-y,-z'
'-x,y+1/2,-z'
'x,-y+1/2,z'
loop_
_atom_site_label
_atom_site_fract_x
_atom_site_fract_y
_atom_site_fract_z
Ni1 0.081 0.250 0.160
Rh1 0.246 0.750 0.494
Rh2 0.414 0.250 0.835
```

Computed properties:
Crystal system: monoclinic
E_form: 15.0 kJ/mol of formula units
N(E_F): 10.0 states/eV/cell